(1)
DFT (PBE) results for crystalline ReF6 at its relaxed geometry.

Cell lengths 4.8850, 5.2168, 5.2168 Å; angles 120.00, 90.00, 90.00 degrees
Closest atoms and distances in Å follow each position.
Positions (direct):
F: 0.7794 0.0000 0.2924  1 Re 1.87
F: 0.7794 0.7076 0.7076  1 Re 1.87
F: 0.2206 0.0000 0.7076  1 Re 1.87
F: 0.7794 0.2924 0.0000  1 Re 1.87
F: 0.2206 0.7076 0.0000  1 Re 1.87
F: 0.2206 0.2924 0.2924  1 Re 1.87
Re: 0.0000 0.0000 0.0000  6 F 1.87

Computed properties:
The calculation puts the calculated volume at 115 Å³ per cell. As for the polymorph energy (0 for the lowest one): 1.9 meV/atom. As for the crystal system: trigonal. The symmetry is No. 162. The size of the total moment comes out at 0.143 μB/atom. As for the formation energy without anion corrections: -2122 meV per atom.

(2)
DFT (PBE) results for crystalline Li3Pm at its relaxed geometry.

Cell lengths 3.2180, 5.3153, 5.6903 Å; angles 90.00, 90.00, 90.00 degrees
Closest atoms and distances in Å follow each position.
Positions (direct):
Li: 0.0000 0.0000 0.9791  8 Li 2.99-3.23, 2 Pm 3.32
Li: 0.5000 0.0000 0.5360  6 Li 2.99-3.22, 4 Pm 3.33
Pm: 0.0000 0.5000 0.3275  2 Pm 3.22, 10 Li 3.25-3.33
Li: 0.5000 0.5000 0.8241  8 Li 3.12-3.23, 4 Pm 3.25-3.29

Computed properties:
The calculation puts the calculated volume at 97 Å³ per cell. Its formation energy is 0.147 eV/atom. As for the polymorph energy (0 for the lowest one): 108.8 meV/atom. As for the crystal system: orthorhombic. The symmetry is No. 25. The size of the total moment comes out at 0.000 μB/atom.

(3)
DFT (PBE) results for crystalline Ca2Er2In3 at its relaxed geometry.

Cell lengths 4.8569, 3.3695, 12.2121 Å; angles 90.00, 78.53, 90.00 degrees
Closest atoms and distances in Å follow each position.
Positions (direct):
In: 0.8471 0.0000 0.3059  4 Er 3.22, 2 In 3.37, 4 Ca 3.55
Er: 0.2933 0.5000 0.4135  4 Er 3.19-3.37, 4 In 3.22, 1 Ca 3.25
Ca: 0.5711 0.5000 0.8578  1 Er 3.25, 3 Ca 3.37-3.40, 8 In 3.41-3.55
In: 0.0000 0.0000 0.0000  4 In 3.37-3.66, 8 Ca 3.41
Ca: 0.4289 0.5000 0.1422  1 Er 3.25, 3 Ca 3.37-3.40, 8 In 3.41-3.55
In: 0.1529 0.0000 0.6941  4 Er 3.22, 2 In 3.37, 4 Ca 3.55
Er: 0.7067 0.5000 0.5865  4 Er 3.19-3.37, 4 In 3.22, 1 Ca 3.25

Computed properties:
The calculation puts the calculated volume at 196 Å³ per cell. Its formation energy is -0.266 eV/atom. As for the crystal system: orthorhombic. The symmetry is No. 65. The size of the total moment comes out at 0.000 μB/atom.

(4)
DFT (PBE) results for crystalline Dy3Tl3BiTe8 at its relaxed geometry.

Cell lengths 8.9066, 8.9100, 9.5221 Å; angles 117.94, 90.00, 119.99 degrees
Closest atoms and distances in Å follow each position.
Positions (direct):
Te: 0.2609 0.5219 0.2829  3 Dy 3.10, 3 Tl 3.43
Te: 0.7561 0.5122 0.2818  2 Dy 3.08, 1 Bi 3.17, 2 Tl 3.45
Te: 0.7391 0.4781 0.7171  3 Dy 3.10, 3 Tl 3.43
Dy: 0.5000 0.5000 0.5000  6 Te 3.08-3.10
Dy: 0.5000 0.0000 0.5000  6 Te 3.08-3.10
Bi: 0.0000 0.0000 0.5000  6 Te 3.17
Tl: 0.5000 0.5000 0.0000  6 Te 3.43-3.45
Te: 0.7560 0.0255 0.2818  2 Dy 3.08, 1 Bi 3.17, 2 Tl 3.45
Tl: 0.0000 0.5000 0.0000  6 Te 3.43-3.45
Te: 0.2440 0.9745 0.7182  2 Dy 3.08, 1 Bi 3.17, 2 Tl 3.45
Dy: 0.0000 0.5000 0.5000  6 Te 3.08-3.10
Tl: 0.0000 0.0000 0.0000  6 Te 3.43-3.45
Te: 0.2695 0.0255 0.2818  2 Dy 3.08, 1 Bi 3.17, 2 Tl 3.45
Te: 0.7305 0.9745 0.7182  2 Dy 3.08, 1 Bi 3.17, 2 Tl 3.45
Te: 0.2439 0.4878 0.7182  2 Dy 3.08, 1 Bi 3.17, 2 Tl 3.45

Computed properties:
The calculation puts the calculated volume at 550 Å³ per cell. As for the crystal system: trigonal. The symmetry is No. 166. The size of the total moment comes out at 0.000 μB/atom. As for the formation energy without anion corrections: -848 meV per atom.

(5)
DFT (PBE) results for crystalline TbCe2PaS5 at its relaxed geometry.

Cell lengths 4.9019, 4.9019, 10.4085 Å; angles 90.00, 90.00, 90.00 degrees
Closest atoms and distances in Å follow each position.
Positions (direct):
S: 0.0000 0.0000 0.7546  1 Pa 2.55, 1 Tb 2.65
S: 0.5000 0.0000 0.5000  2 Tb 2.45
S: 0.5000 0.5000 0.0000  2 Ce 3.04
Ce: 0.5000 0.5000 0.7076  5 S 3.04-3.27
S: 0.0000 0.5000 0.5000  2 Tb 2.45
Tb: 0.0000 0.0000 0.5000  6 S 2.45-2.65
Ce: 0.5000 0.5000 0.2924  5 S 3.04-3.27
S: 0.0000 0.0000 0.2454  1 Pa 2.55, 1 Tb 2.65
Pa: 0.0000 0.0000 0.0000  2 S 2.55

Computed properties:
The calculation puts the calculated volume at 250 Å³ per cell. As for the crystal system: tetragonal. The symmetry is No. 123. The size of the total moment comes out at 0.613 μB/atom. As for the formation energy without anion corrections: -1254 meV per atom.

(6)
DFT (PBE) results for crystalline AcThCo at its relaxed geometry.

Cell lengths 3.9034, 8.5547, 6.6697 Å; angles 55.02, 73.07, 90.08 degrees
Closest atoms and distances in Å follow each position.
Positions (direct):
Co: 0.3481 0.2708 0.8048  3 Th 2.65-2.82
Ac: 0.0839 0.3819 0.3346  4 Co 3.20-3.21
Th: 0.6758 0.0777 0.1499  3 Co 2.65-2.82
Th: 0.3242 0.9223 0.8501  3 Co 2.65-2.82
Ac: 0.9161 0.6181 0.6654  4 Co 3.20-3.21
Co: 0.6519 0.7292 0.1952  3 Th 2.65-2.82

Computed properties:
The calculation puts the calculated volume at 170 Å³ per cell. Its formation energy is -0.122 eV/atom. As for the polymorph energy (0 for the lowest one): 30.2 meV/atom. As for the crystal system: triclinic. The symmetry is No. 2. The size of the total moment comes out at 0.000 μB/atom.

(7)
DFT (PBE) results for crystalline ErBeRu at its relaxed geometry.

Cell lengths 5.1137, 5.1037, 5.1037 Å; angles 62.45, 59.93, 59.93 degrees
Closest atoms and distances in Å follow each position.
Positions (direct):
Ru: 0.5000 0.0000 0.5000  4 Be 2.55, 2 Ru 2.65
Er: 0.1283 0.6217 0.6217  6 Ru 2.94-3.02, 6 Be 2.97-3.06, 4 Er 3.08-3.21
Ru: 0.5000 0.5000 0.0000  4 Be 2.55, 2 Ru 2.65
Be: 0.5000 0.0000 0.0000  4 Ru 2.55, 2 Be 2.56
Be: 0.0000 0.0000 0.0000  4 Ru 2.55, 2 Be 2.56
Er: 0.8717 0.3783 0.3783  6 Ru 2.94-3.02, 6 Be 2.97-3.06, 4 Er 3.08-3.21

Computed properties:
The calculation puts the calculated volume at 96 Å³ per cell. Its formation energy is -0.299 eV/atom. As for the polymorph energy (0 for the lowest one): 37.6 meV/atom. As for the crystal system: orthorhombic. The symmetry is No. 74. The size of the total moment comes out at 0.000 μB/atom.

(8)
DFT (PBE) results for crystalline ScSi2W at its relaxed geometry.

Cell lengths 5.0657, 5.0657, 5.0657 Å; angles 135.91, 135.91, 64.12 degrees
Closest atoms and distances in Å follow each position.
Positions (direct):
W: 0.5000 0.5000 0.0000  8 Si 2.69-2.87, 4 Sc 2.87
Si: 0.0000 0.0000 0.0000  4 W 2.69, 4 Si 2.87, 4 Sc 2.87
Si: 0.2500 0.7500 0.5000  4 Sc 2.69, 4 Si 2.87, 4 W 2.87
Sc: 0.7500 0.2500 0.5000  8 Si 2.69-2.87, 4 W 2.87

Computed properties:
The calculation puts the calculated volume at 62 Å³ per cell. As for the polymorph energy (0 for the lowest one): 276.5 meV/atom. As for the crystal system: tetragonal. The symmetry is No. 119. The size of the total moment comes out at 0.000 μB/atom. As for the formation energy without anion corrections: -108 meV per atom.

(9)
DFT (PBE) results for crystalline Sr3GaPt2 at its relaxed geometry.

Cell lengths 4.3598, 12.9709, 12.3005 Å; angles 90.00, 90.00, 90.00 degrees
Closest atoms and distances in Å follow each position.
Positions (direct):
Sr: 0.7500 0.3071 0.8109  4 Pt 3.08-3.36, 2 Ga 3.21
Pt: 0.2500 0.0250 0.3025  1 Ga 2.59
Sr: 0.2500 0.1154 0.5636  5 Pt 3.28-3.42, 1 Ga 3.30
Ga: 0.7500 0.6373 0.3718  3 Pt 2.52-2.59
Sr: 0.2500 0.4439 0.3743  5 Pt 3.25-3.39, 3 Ga 3.30-3.32
Sr: 0.2500 0.0561 0.8743  5 Pt 3.25-3.39, 3 Ga 3.30-3.32
Pt: 0.2500 0.6827 0.4619  2 Ga 2.52
Ga: 0.2500 0.3627 0.6282  3 Pt 2.52-2.59
Pt: 0.7500 0.9750 0.6975  1 Ga 2.59
Pt: 0.7500 0.3173 0.5381  2 Ga 2.52
Pt: 0.7500 0.5250 0.1975  1 Ga 2.59
Ga: 0.2500 0.1373 0.1282  3 Pt 2.52-2.59
Sr: 0.7500 0.9439 0.1257  5 Pt 3.25-3.39, 3 Ga 3.30-3.32
Sr: 0.7500 0.1929 0.3109  4 Pt 3.08-3.36, 2 Ga 3.21
Sr: 0.2500 0.3846 0.0636  5 Pt 3.28-3.42, 1 Ga 3.30
Sr: 0.7500 0.5561 0.6257  5 Pt 3.25-3.39, 3 Ga 3.30-3.32
Sr: 0.7500 0.6154 0.9364  5 Pt 3.28-3.42, 1 Ga 3.30
Sr: 0.7500 0.8846 0.4364  5 Pt 3.28-3.42, 1 Ga 3.30
Sr: 0.2500 0.6929 0.1891  4 Pt 3.08-3.36, 2 Ga 3.21
Pt: 0.2500 0.4750 0.8025  1 Ga 2.59
Pt: 0.2500 0.8173 0.9619  2 Ga 2.52
Sr: 0.2500 0.8071 0.6891  4 Pt 3.08-3.36, 2 Ga 3.21
Ga: 0.7500 0.8627 0.8718  3 Pt 2.52-2.59
Pt: 0.7500 0.1827 0.0381  2 Ga 2.52

Computed properties:
The calculation puts the calculated volume at 696 Å³ per cell. Its formation energy is -0.756 eV/atom. As for the crystal system: orthorhombic. The symmetry is No. 62. The size of the total moment comes out at 0.000 μB/atom.

(10)
DFT (PBE) results for crystalline Er2CoGe at its relaxed geometry.

Cell lengths 3.3829, 3.3829, 7.0783 Å; angles 90.00, 90.00, 90.00 degrees
Closest atoms and distances in Å follow each position.
Positions (direct):
Er: 0.0000 0.0000 0.2307  4 Co 2.90, 4 Ge 3.06
Er: 0.0000 0.0000 0.7693  4 Co 2.90, 4 Ge 3.06
Co: 0.5000 0.5000 0.0000  8 Er 2.90
Ge: 0.5000 0.5000 0.5000  8 Er 3.06, 4 Ge 3.38

Computed properties:
The calculation puts the calculated volume at 81 Å³ per cell. Its formation energy is -0.434 eV/atom. As for the crystal system: tetragonal. The symmetry is No. 123. The size of the total moment comes out at 0.173 μB/atom.

(11)
DFT (PBE) results for crystalline Nd6SiSe2S3 at its relaxed geometry.

Cell lengths 7.2350, 7.2350, 7.1916 Å; angles 99.66, 99.66, 120.04 degrees
Closest atoms and distances in Å follow each position.
Positions (direct):
Nd: 0.5923 0.9138 0.7411  3 S 2.88-2.97, 1 Si 2.91, 2 Se 3.01-3.02
Se: 0.6669 0.3331 0.0000  6 Nd 3.01-3.02
Nd: 0.9138 0.5923 0.7411  3 S 2.88-2.97, 1 Si 2.91, 2 Se 3.01-3.02
S: 0.8317 0.1683 0.5000  6 Nd 2.88-2.97
Se: 0.3331 0.6669 0.0000  6 Nd 3.01-3.02
S: 0.1683 0.8317 0.5000  6 Nd 2.88-2.97
Nd: 0.7634 0.7634 0.2561  1 Si 2.90, 3 S 2.91-2.99, 2 Se 3.01
Nd: 0.2366 0.2366 0.7439  1 Si 2.90, 3 S 2.91-2.99, 2 Se 3.01
Nd: 0.4077 0.0862 0.2589  3 S 2.88-2.97, 1 Si 2.91, 2 Se 3.01-3.02
S: 0.5000 0.5000 0.5000  6 Nd 2.88-2.99
Nd: 0.0862 0.4077 0.2589  3 S 2.88-2.97, 1 Si 2.91, 2 Se 3.01-3.02
Si: 0.0000 0.0000 0.0000  6 Nd 2.90-2.91

Computed properties:
The calculation puts the calculated volume at 307 Å³ per cell. As for the crystal system: monoclinic. The symmetry is No. 12. The size of the total moment comes out at 0.000 μB/atom. As for the formation energy without anion corrections: -1781 meV per atom.

(12)
DFT (PBE) results for crystalline AgPRuS2 at its relaxed geometry.

Cell lengths 4.7832, 4.7832, 4.4162 Å; angles 90.00, 90.00, 90.00 degrees
Closest atoms and distances in Å follow each position.
Positions (direct):
S: 0.5000 0.0000 0.0000  2 Ru 2.39
S: 0.0000 0.5000 0.0000  2 Ru 2.39
Ag: 0.5000 0.5000 0.5000  8 S 3.26, 4 P 3.38
P: 0.0000 0.0000 0.5000  2 Ru 2.21
Ru: 0.0000 0.0000 0.0000  2 P 2.21, 4 S 2.39

Computed properties:
The calculation puts the calculated volume at 101 Å³ per cell. As for the polymorph energy (0 for the lowest one): 0.0 meV/atom. As for the crystal system: tetragonal. The symmetry is No. 123. The size of the total moment comes out at 0.013 μB/atom. As for the formation energy without anion corrections: 579 meV per atom.

What is the formula in the first record?
ReF6

What is the formula in the first record?
ReF6